1.
The following is a PBE calculation of an optimized crystal structure of NdZnPt4, from Alexandria via LeMat-Bulk.

- Energy of formation: -0.697 eV/atom

Unit cell a=8.2083 b=8.2083 c=6.8114 alpha=90.00 beta=90.00 gamma=151.93
Fractional coordinates of all 12 atoms:
1 Nd 0.1062 0.8938 0.7500
2 Nd 0.8938 0.1062 0.2500
3 Zn 0.2355 0.7645 0.2500
4 Zn 0.7645 0.2355 0.7500
5 Pt 0.0750 0.9250 0.2500
6 Pt 0.3252 0.6748 0.5489
7 Pt 0.3252 0.6748 0.9511
8 Pt 0.5000 0.5000 0.0000
9 Pt 0.5000 0.5000 0.5000
10 Pt 0.6748 0.3252 0.0489
11 Pt 0.6748 0.3252 0.4511
12 Pt 0.9250 0.0750 0.7500

---

2.
The following is a PBE calculation of an optimized crystal structure of Pm4RhO, from Alexandria via LeMat-Bulk.

- E_form (uncorrected): -1080 meV/atom

Unit cell a=8.2001 b=8.2001 c=6.4571 alpha=105.91 beta=105.91 gamma=122.05
Fractional coordinates of all 12 atoms:
1 Pm 0.0309 0.6296 0.8147
2 Pm 0.1949 0.2922 0.7202
3 Pm 0.2922 0.1949 0.2202
4 Pm 0.3704 0.9691 0.6853
5 Pm 0.6296 0.0309 0.3147
6 Pm 0.7078 0.8051 0.7798
7 Pm 0.8051 0.7078 0.2798
8 Pm 0.9691 0.3704 0.1853
9 Rh 0.3966 0.6034 0.2500
10 Rh 0.6034 0.3966 0.7500
11 O 0.0573 0.9427 0.7500
12 O 0.9427 0.0573 0.2500

---

3.
The following is a PBE calculation of an optimized crystal structure of ZnCrPt2, from Alexandria via LeMat-Bulk.

- Energy of formation: -0.140 eV/atom

Unit cell a=2.7464 b=2.7464 c=7.6219 alpha=90.00 beta=90.00 gamma=90.00
Fractional coordinates of all 4 atoms:
1 Zn 0.0000 0.0000 0.0000
2 Cr 0.5000 0.5000 0.2452
3 Pt 0.0000 0.0000 0.4722
4 Pt 0.5000 0.5000 0.7554

---

4.
The following is a PBE calculation of an optimized crystal structure of LaSmAsO2, from Alexandria via LeMat-Bulk.

- E_form (uncorrected): -2634 meV/atom

Unit cell a=7.2394 b=7.2394 c=7.2394 alpha=148.42 beta=148.42 gamma=45.26
Fractional coordinates of all 5 atoms:
1 La 0.0000 0.0000 0.0000
2 Sm 0.6837 0.6837 0.0000
3 As 0.3393 0.3393 0.0000
4 O 0.0955 0.5955 0.5000
5 O 0.5955 0.0955 0.5000

---

5.
The following is a PBE calculation of an optimized crystal structure of TiTlRu2, from Alexandria via LeMat-Bulk.

- Energy of formation: -0.039 eV/atom
- Energy above the lowest structure with this stoichiometry: 0 kJ/mol of formula units

Unit cell a=4.5070 b=4.5070 c=4.5070 alpha=60.00 beta=60.00 gamma=60.00
Fractional coordinates of all 4 atoms:
1 Ti 0.0000 0.0000 0.0000
2 Tl 0.5000 0.5000 0.5000
3 Ru 0.2500 0.2500 0.2500
4 Ru 0.7500 0.7500 0.7500

---

6.
The following is a PBE calculation of an optimized crystal structure of Ce2Cu3Si5, from Alexandria via LeMat-Bulk.

- E_form (uncorrected): -456 meV/atom

Unit cell a=8.1569 b=8.1569 c=8.1569 alpha=107.81 beta=87.38 gamma=137.73
Fractional coordinates of all 20 atoms:
1 Ce 0.1254 0.2408 0.3662
2 Ce 0.3746 0.7408 0.1153
3 Ce 0.6254 0.2592 0.8847
4 Ce 0.8746 0.7592 0.6338
5 Cu 0.1337 0.8851 0.0188
6 Cu 0.2500 0.7500 0.5000
7 Cu 0.3663 0.3851 0.7515
8 Cu 0.6337 0.6149 0.2485
9 Cu 0.7500 0.2500 0.5000
10 Cu 0.8663 0.1149 0.9812
11 Si 0.0147 0.7500 0.2647
12 Si 0.1141 0.6431 0.7572
13 Si 0.2500 0.2500 0.0000
14 Si 0.3859 0.1431 0.5289
15 Si 0.4853 0.7500 0.7353
16 Si 0.5147 0.2500 0.2647
17 Si 0.6141 0.8569 0.4711
18 Si 0.7500 0.7500 0.0000
19 Si 0.8859 0.3569 0.2428
20 Si 0.9853 0.2500 0.7353